[1]
An optimized crystal structure of Ac6GeOs2Br3. Source: the Alexandria database, functional PBE.

Calculated values
Spin magnetization, μB per atom: 0.000
Formation energy (no corrections), eV per atom: -0.8723

Cell: 7.7080 7.7080 8.5120 Å, 98.72 98.72 119.99°
Closest atoms and distances in Å follow each position.
Fractional positions:
Ac 0.0795 0.4342 0.8018  2 Os 2.96-2.97, 1 Ge 3.17
Ac 0.2116 0.2116 0.1980  2 Os 2.97, 1 Ge 3.17
Ac 0.4342 0.0795 0.8018  2 Os 2.96-2.97, 1 Ge 3.17
Ac 0.5658 0.9205 0.1982  2 Os 2.96-2.97, 1 Ge 3.17
Ac 0.7884 0.7884 0.8020  2 Os 2.97, 1 Ge 3.17
Ac 0.9205 0.5658 0.1982  2 Os 2.96-2.97, 1 Ge 3.17
Ge 0.5000 0.5000 0.0000  6 Ac 3.17
Os 0.1669 0.8331 0.0000  6 Ac 2.96-2.97
Os 0.8331 0.1669 0.0000  6 Ac 2.96-2.97
Br 0.0000 0.0000 0.5000  6 Ac 3.44-3.61
Br 0.3361 0.6639 0.5000  6 Ac 3.45-3.61
Br 0.6639 0.3361 0.5000  6 Ac 3.45-3.61

=====

[2]
An optimized crystal structure of LiSmGaPb. Source: the Alexandria database, functional PBE.

Calculated values
Spin magnetization, μB per atom: 0.000
Energy of formation from the pure elements, eV per atom: -0.35

Cell: 7.2819 7.2819 7.2819 Å, 90.00 90.00 90.00°
Closest atoms and distances in Å follow each position.
Fractional positions:
Li 0.0000 0.0000 0.0000  4 Ga 3.15, 4 Pb 3.15
Li 0.0000 0.5000 0.5000  4 Ga 3.15, 4 Pb 3.15
Li 0.5000 0.0000 0.5000  4 Ga 3.15, 4 Pb 3.15
Li 0.5000 0.5000 0.0000  4 Ga 3.15, 4 Pb 3.15
Sm 0.0000 0.0000 0.5000  4 Pb 3.15, 4 Ga 3.15
Sm 0.0000 0.5000 0.0000  4 Pb 3.15, 4 Ga 3.15
Sm 0.5000 0.0000 0.0000  4 Pb 3.15, 4 Ga 3.15
Sm 0.5000 0.5000 0.5000  4 Pb 3.15, 4 Ga 3.15
Ga 0.2500 0.2500 0.7500  4 Li 3.15, 4 Sm 3.15
Ga 0.2500 0.7500 0.2500  4 Li 3.15, 4 Sm 3.15
Ga 0.7500 0.2500 0.2500  4 Li 3.15, 4 Sm 3.15
Ga 0.7500 0.7500 0.7500  4 Li 3.15, 4 Sm 3.15
Pb 0.2500 0.2500 0.2500  4 Li 3.15, 4 Sm 3.15
Pb 0.2500 0.7500 0.7500  4 Li 3.15, 4 Sm 3.15
Pb 0.7500 0.2500 0.7500  4 Li 3.15, 4 Sm 3.15
Pb 0.7500 0.7500 0.2500  4 Li 3.15, 4 Sm 3.15

=====

[3]
An optimized crystal structure of CaPmEu4. Source: the Alexandria database, functional PBE.

Calculated values
Spin magnetization, μB per atom: 5.144
Energy of formation from the pure elements, eV per atom: 0.19

Cell: 7.0589 7.0589 7.0589 Å, 60.00 60.00 60.00°
Closest atoms and distances in Å follow each position.
Fractional positions:
Ca 0.0000 0.0000 0.0000  12 Eu 4.14, 4 Pm 4.32
Pm 0.7500 0.7500 0.7500  12 Eu 4.14, 4 Ca 4.32
Eu 0.3758 0.3758 0.3758  6 Eu 3.51-3.55
Eu 0.3758 0.3758 0.8726  6 Eu 3.51-3.55
Eu 0.3758 0.8726 0.3758  6 Eu 3.51-3.55
Eu 0.8726 0.3758 0.3758  6 Eu 3.51-3.55

=====

> Which value of spin magnetization does entry 1 give?

0.000 μB per atom